[1]
The following is a DFT calculation (PBE) of an optimized crystal structure of TcBr2Cl8.

Computed properties:
DFT total energy	-31.73	eV per formula unit
formation energy without anion corrections	-3.2	eV per formula unit

Cell lengths 7.231, 8.755, 8.755 Å; angles 49.12, 68.65, 68.65 degrees
Sites, in units of the cell vectors:
Br 0.457 0.743 0.744
Br 0.543 0.257 0.256
Cl 0.356 0.920 0.920
Cl 0.026 0.319 0.874
Cl 0.974 0.126 0.681
Cl 0.026 0.874 0.319
Cl 0.644 0.080 0.080
Cl 0.974 0.681 0.126
Cl 0.445 0.408 0.408
Cl 0.555 0.592 0.592
Tc 0.000 0.000 0.000

***

[2]
The following is a DFT calculation (PBE) of an optimized crystal structure of SrInO3.

Computed properties:
DFT total energy	-27.76	eV per formula unit
formation energy without anion corrections	-8.5	eV per formula unit

Cell lengths 4.157, 4.157, 4.157 Å; angles 90.00, 90.00, 90.00 degrees
Sites, in units of the cell vectors:
O 0.000 0.000 0.500
O 0.500 0.000 0.000
O 0.000 0.500 0.000
In 0.000 0.000 0.000
Sr 0.500 0.500 0.500

***

[3]
The following is a DFT calculation (PBE) of an optimized crystal structure of AcNd2Co.

Computed properties:
DFT total energy	-20.87	eV per formula unit
formation energy from the elements	-0.030	eV/atom

Cell lengths 3.847, 6.538, 10.123 Å; angles 90.00, 90.00, 107.12 degrees
Sites, in units of the cell vectors:
Co 0.767 0.533 0.750
Co 0.233 0.467 0.250
Nd 0.357 0.714 0.575
Nd 0.357 0.714 0.925
Nd 0.643 0.286 0.075
Nd 0.643 0.286 0.425
Ac 0.911 0.823 0.250
Ac 0.089 0.177 0.750

***

[4]
The following is a DFT calculation (PBE) of an optimized crystal structure of TmMgGaPb.

Computed properties:
DFT total energy	-13.60	eV per formula unit
formation energy from the elements	-0.200	eV/atom

Cell lengths 5.153, 5.153, 5.153 Å; angles 60.00, 60.00, 60.00 degrees
Sites, in units of the cell vectors:
Mg 0.500 0.500 0.500
Ga 0.250 0.250 0.250
Pb 0.750 0.750 0.750
Tm 0.000 0.000 0.000

***

Number 1: magnetic moment 1.2 μB per cell. Number 2: magnetic moment 0.6 μB per cell. Number 3: magnetic moment 0.0 μB per cell. Number 4: magnetic moment 0.0 μB per cell.